Computed, not measured: BeCdPt2 after structural relaxation at the GGA-PBE level of DFT.

Final energy, eV/f.u.: -18.00
Density of states at the Fermi level, states/eV/atom: 0.458
Formation enthalpy at 0 K, eV per atom: -0.32
Relative energy among the computed polymorphs, meV per atom: 242
Space-group type: No. 6
Total magnetic moment, μB/cell: 0.000

Cell and atoms, written as extended XYZ:
```
4
Lattice="2.8098 0.0000 0.0000 0.0000 3.6862 0.0000 -1.3625 0.0000 6.0099" Properties=species:S:1:pos:R:3 pbc="T T T"
Be 0.0000 0.0000 0.0000
Cd 0.0122 1.8431 2.0976
Pt 0.0398 1.8431 5.5462
Pt 1.4211 0.0000 3.7339
```